Material: Mg2In2GaPd4
Method: DFT, PBE-GGA
State: optimized geometry

Calculated values
- space group = I4/mmm (139)
- uncorrected energy (eV for the cell shown) = -35.59

Cell lengths 6.1189, 6.1189, 6.1189 Å; angles 93.90, 117.78, 117.78 degrees
Last column: nearest neighbours and their distance in Å.
Fractional positions:
1 In 0.5000 0.2500 0.7500  8 Pd 3.06, 4 Mg 3.20
2 In 0.5000 0.7500 0.2500  8 Pd 3.06, 4 Mg 3.20
3 Mg 0.0000 0.3064 0.3064  1 Ga 2.56, 4 Pd 2.64
4 Mg 0.0000 0.6936 0.6936  1 Ga 2.56, 4 Pd 2.64
5 Pd 0.4665 0.7332 0.7332  1 Ga 2.39, 2 Mg 2.64
6 Pd 0.5335 0.2668 0.2668  1 Ga 2.39, 2 Mg 2.64
7 Pd 0.0000 0.7332 0.2668  1 Ga 2.39, 2 Mg 2.64
8 Pd 0.0000 0.2668 0.7332  1 Ga 2.39, 2 Mg 2.64
9 Ga 0.0000 0.0000 0.0000  4 Pd 2.39, 2 Mg 2.56

***

Material: MgInGaPd
Method: DFT, PBE-GGA
State: optimized geometry

Calculated values
- space group = F-43m (216)
- uncorrected energy (eV for the cell shown) = -13.64

Cell lengths 4.7389, 4.7389, 4.7389 Å; angles 60.00, 60.00, 60.00 degrees
Last column: nearest neighbours and their distance in Å.
Fractional positions:
1 Ga 0.2500 0.2500 0.2500  4 In 2.90, 4 Mg 2.90
2 Pd 0.7500 0.7500 0.7500  4 Mg 2.90, 4 In 2.90
3 In 0.0000 0.0000 0.0000  4 Pd 2.90, 4 Ga 2.90
4 Mg 0.5000 0.5000 0.5000  4 Pd 2.90, 4 Ga 2.90

***

Material: MgIn2Ga2Pd5
Method: DFT, PBE-GGA
State: optimized geometry

Calculated values
- space group = P4/mbm (127)
- uncorrected energy (eV for the cell shown) = -87.35

Cell lengths 3.6160, 9.7809, 9.7809 Å; angles 90.00, 90.00, 90.00 degrees
Last column: nearest neighbours and their distance in Å.
Fractional positions:
1 Pd 0.5000 0.1870 0.1001  2 Ga 2.56, 2 Mg 2.75
2 Pd 0.5000 0.5000 0.0000  4 Ga 2.56
3 Pd 0.5000 0.8130 0.8999  2 Ga 2.56, 2 Mg 2.75
4 Pd 0.5000 0.6001 0.6870  2 Ga 2.56, 2 Mg 2.75
5 Pd 0.5000 0.0000 0.5000  4 Ga 2.56
6 Pd 0.5000 0.3130 0.6001  2 Ga 2.56, 2 Mg 2.75
7 Pd 0.5000 0.1001 0.8130  2 Ga 2.56, 2 Mg 2.75
8 Pd 0.5000 0.6870 0.3999  2 Ga 2.56, 2 Mg 2.75
9 Pd 0.5000 0.8999 0.1870  2 Ga 2.56, 2 Mg 2.75
10 Pd 0.5000 0.3999 0.3130  2 Ga 2.56, 2 Mg 2.75
11 Mg 0.0000 0.5000 0.5000  8 Pd 2.75
12 Mg 0.0000 0.0000 0.0000  8 Pd 2.75
13 Ga 0.0000 0.6306 0.8694  6 Pd 2.56, 1 In 2.80
14 Ga 0.0000 0.3694 0.1306  6 Pd 2.56, 1 In 2.80
15 Ga 0.0000 0.1306 0.6306  6 Pd 2.56, 1 In 2.80
16 Ga 0.0000 0.8694 0.3694  6 Pd 2.56, 1 In 2.80
17 In 0.0000 0.8334 0.6666  3 Ga 2.80-2.93, 6 Pd 2.92-2.93
18 In 0.0000 0.6666 0.1666  3 Ga 2.80-2.93, 6 Pd 2.92-2.93
19 In 0.0000 0.1666 0.3334  3 Ga 2.80-2.93, 6 Pd 2.92-2.93
20 In 0.0000 0.3334 0.8334  3 Ga 2.80-2.93, 6 Pd 2.92-2.93

***

Material: Mg5In2Ga2Pd
Method: DFT, PBE-GGA
State: optimized geometry

Calculated values
- space group = P4/mbm (127)
- uncorrected energy (eV for the cell shown) = -53.73

Cell lengths 3.0982, 11.7426, 11.7426 Å; angles 90.00, 90.00, 90.00 degrees
Last column: nearest neighbours and their distance in Å.
Fractional positions:
1 Ga 0.0000 0.1406 0.6406  6 Mg 2.80-2.83, 1 In 2.91, 2 Ga 3.10
2 Ga 0.0000 0.3594 0.1406  6 Mg 2.80-2.83, 1 In 2.91, 2 Ga 3.10
3 Ga 0.0000 0.6406 0.8594  6 Mg 2.80-2.83, 1 In 2.91, 2 Ga 3.10
4 Ga 0.0000 0.8594 0.3594  6 Mg 2.80-2.83, 1 In 2.91, 2 Ga 3.10
5 Mg 0.5000 0.4678 0.3104  2 Pd 2.74, 2 Ga 2.83
6 Mg 0.5000 0.5322 0.6896  2 Pd 2.74, 2 Ga 2.83
7 Mg 0.5000 0.5000 0.0000  4 Ga 2.80, 2 Mg 3.10
8 Mg 0.5000 0.6896 0.4678  2 Pd 2.74, 2 Ga 2.83
9 Mg 0.5000 0.0000 0.5000  4 Ga 2.80, 2 Mg 3.10
10 Mg 0.5000 0.3104 0.5322  2 Pd 2.74, 2 Ga 2.83
11 Mg 0.5000 0.1896 0.0322  2 Pd 2.74, 2 Ga 2.83
12 Mg 0.5000 0.9678 0.1896  2 Pd 2.74, 2 Ga 2.83
13 Mg 0.5000 0.8104 0.9678  2 Pd 2.74, 2 Ga 2.83
14 Mg 0.5000 0.0322 0.8104  2 Pd 2.74, 2 Ga 2.83
15 In 0.0000 0.1843 0.3157  1 Ga 2.91, 2 In 3.10
16 In 0.0000 0.6843 0.1843  1 Ga 2.91, 2 In 3.10
17 In 0.0000 0.3157 0.8157  1 Ga 2.91, 2 In 3.10
18 In 0.0000 0.8157 0.6843  1 Ga 2.91, 2 In 3.10
19 Pd 0.0000 0.0000 0.0000  8 Mg 2.74
20 Pd 0.0000 0.5000 0.5000  8 Mg 2.74

***

Material: Mg2InGaPd2
Method: DFT, PBE-GGA
State: optimized geometry

Calculated values
- space group = Pmc2_1 (26)
- uncorrected energy (eV for the cell shown) = -44.82

Cell lengths 4.2410, 6.0621, 8.4881 Å; angles 90.00, 90.00, 90.00 degrees
Last column: nearest neighbours and their distance in Å.
Fractional positions:
1 In 0.0000 0.4528 0.5922  5 Pd 2.82-2.86, 1 Mg 2.95, 2 Ga 3.01
2 In 0.0000 0.9528 0.4078  5 Pd 2.82-2.86, 1 Mg 2.95, 2 Ga 3.01
3 Ga 0.5000 0.1521 0.7239  4 Pd 2.61-2.70, 2 Mg 2.84
4 Ga 0.5000 0.6521 0.2761  4 Pd 2.61-2.70, 2 Mg 2.84
5 Pd 0.5000 0.2699 0.4167  2 Ga 2.61-2.70, 2 Mg 2.79, 4 In 2.82-2.86
6 Pd 0.0000 0.2651 0.8998  6 Mg 2.67-2.87, 2 Ga 2.68, 1 In 2.85
7 Pd 0.0000 0.7651 0.1002  6 Mg 2.67-2.87, 2 Ga 2.68, 1 In 2.85
8 Pd 0.5000 0.7699 0.5833  2 Ga 2.61-2.70, 2 Mg 2.79, 4 In 2.82-2.86
9 Mg 0.5000 0.0523 0.0698  4 Pd 2.76-2.87, 2 Ga 2.99-3.00, 2 Mg 3.04
10 Mg 0.5000 0.5523 0.9302  4 Pd 2.76-2.87, 2 Ga 2.99-3.00, 2 Mg 3.04
11 Mg 0.0000 0.3534 0.2106  4 Pd 2.67-2.79, 2 Ga 2.84, 1 In 2.95
12 Mg 0.0000 0.8534 0.7894  4 Pd 2.67-2.79, 2 Ga 2.84, 1 In 2.95

***

Material: PmMgInGa
Method: DFT, PBE-GGA
State: optimized geometry

Calculated values
- space group = Pmmm (47)
- distance to the lowest polymorph of the same formula (meV per atom) = 0
- uncorrected energy (eV for the cell shown) = -13.81

Cell lengths 4.4557, 4.5134, 4.6796 Å; angles 90.00, 90.00, 90.00 degrees
Last column: nearest neighbours and their distance in Å.
Fractional positions:
1 Mg 0.0000 0.5000 0.5000  4 In 3.17, 4 Ga 3.23, 4 Pm 3.25
2 Ga 0.5000 0.5000 0.0000  4 Pm 3.17, 4 Mg 3.23, 4 In 3.25
3 In 0.5000 0.0000 0.5000  4 Mg 3.17, 4 Pm 3.23, 4 Ga 3.25
4 Pm 0.0000 0.0000 0.0000  4 Ga 3.17, 4 In 3.23, 4 Mg 3.25

***

Material: PmMgInGa
Method: DFT, PBE-GGA
State: optimized geometry

Calculated values
- space group = F-43m (216)
- distance to the lowest polymorph of the same formula (meV per atom) = 92
- uncorrected energy (eV for the cell shown) = -13.44

Cell lengths 5.1358, 5.1358, 5.1358 Å; angles 60.00, 60.00, 60.00 degrees
Last column: nearest neighbours and their distance in Å.
Fractional positions:
1 In 0.7500 0.7500 0.7500  4 Pm 3.15, 4 Mg 3.15
2 Mg 0.5000 0.5000 0.5000  4 Ga 3.15, 4 In 3.15
3 Ga 0.2500 0.2500 0.2500  4 Mg 3.15, 4 Pm 3.15
4 Pm 0.0000 0.0000 0.0000  4 In 3.15, 4 Ga 3.15

***

Material: PmMg2InGa
Method: DFT, PBE-GGA
State: optimized geometry

Calculated values
- space group = Cmcm (63)
- uncorrected energy (eV for the cell shown) = -29.31

Cell lengths 3.5979, 8.9428, 8.4144 Å; angles 90.00, 90.00, 101.60 degrees
Last column: nearest neighbours and their distance in Å.
Fractional positions:
1 Mg 0.8254 0.6508 0.4402  3 Ga 2.81-2.87, 1 In 3.10
2 Mg 0.1746 0.3492 0.5598  3 Ga 2.81-2.87, 1 In 3.10
3 Mg 0.8254 0.6508 0.0598  3 Ga 2.81-2.87, 1 In 3.10
4 Mg 0.1746 0.3492 0.9402  3 Ga 2.81-2.87, 1 In 3.10
5 Pm 0.5992 0.1984 0.2500  2 Ga 3.10, 4 In 3.27, 4 Mg 3.43
6 Pm 0.4008 0.8016 0.7500  2 Ga 3.10, 4 In 3.27, 4 Mg 3.43
7 Ga 0.7568 0.5136 0.7500  6 Mg 2.81-2.87, 2 Pm 3.10
8 Ga 0.2432 0.4864 0.2500  6 Mg 2.81-2.87, 2 Pm 3.10
9 In 0.0000 0.0000 0.5000  2 Mg 3.10, 4 Pm 3.27
10 In 0.0000 0.0000 0.0000  2 Mg 3.10, 4 Pm 3.27

***

Number 1: E_form -347 meV per atom. Number 2: E_form -272 meV per atom. Number 3: E_form -458 meV per atom. Number 4: E_form -217 meV per atom. Number 5: E_form -512 meV per atom. Number 6: E_form -426 meV per atom. Number 7: E_form -334 meV per atom. Number 8: E_form -190 meV per atom.